(i)
VASP calculation (PBE) on Zn2CuRe after structural relaxation.

abc: 2.6245 2.6245 8.4964
angles: 90.00 90.00 106.50
Fractional positions:
Cu: 0.0000 0.0000 0.4948
Re: 0.5000 0.5000 0.7441
Zn: 0.5000 0.5000 0.2597
Zn: 0.0000 0.0000 0.0014

Properties
N(E_F) = 1.6 states/eV/cell
V = 14.03 Å³/atom
magnetic moment = 0.000 μB per atom



(ii)
VASP calculation (PBE) on Zn2CuRe after structural relaxation.

abc: 2.6698 3.5594 5.7669
angles: 90.00 90.00 90.00
Fractional positions:
Cu: 0.5000 0.5000 0.2500
Zn: 0.0000 0.0000 0.0157
Zn: 0.0000 0.0000 0.4843
Re: 0.5000 0.5000 0.7500

Properties
N(E_F) = 1.5 states/eV/cell
V = 13.70 Å³/atom
magnetic moment = 0.000 μB per atom



(iii)
VASP calculation (PBE) on Zn2CuRe after structural relaxation.

abc: 2.6362 3.9586 5.3473
angles: 90.00 90.00 90.00
Fractional positions:
Zn: 0.0000 0.0000 0.9920
Zn: 0.5000 0.5000 0.2572
Cu: 0.0000 0.0000 0.5006
Re: 0.5000 0.5000 0.7502

Properties
N(E_F) = 2.5 states/eV/cell
V = 13.95 Å³/atom
magnetic moment = 0.000 μB per atom



In order of decreasing stability: (i), (ii), (iii).



(i)
VASP calculation (PBE) on Zn2CuRe after structural relaxation.

abc: 4.2459 2.6212 5.0429
angles: 82.13 90.00 90.00
Fractional positions:
Cu: 0.5000 0.2500 0.2500
Zn: 0.0000 0.4012 0.5020
Re: 0.5000 0.7500 0.7500
Zn: 0.0000 0.0988 0.9980

Properties
N(E_F) = 2.0 states/eV/cell
V = 13.90 Å³/atom
magnetic moment = 0.000 μB per atom



(ii)
VASP calculation (PBE) on Zn2CuRe after structural relaxation.

abc: 4.2940 4.2940 4.2940
angles: 60.00 60.00 60.00
Fractional positions:
Re: 0.7500 0.7500 0.7500
Zn: 0.0000 0.0000 0.0000
Cu: 0.5000 0.5000 0.5000
Zn: 0.2500 0.2500 0.2500

Properties
N(E_F) = 2.8 states/eV/cell
V = 14.00 Å³/atom
magnetic moment = 0.387 μB per atom



(iii)
VASP calculation (PBE) on Zn2CuRe after structural relaxation.

abc: 8.8218 8.8218 8.8218
angles: 17.80 17.80 17.80
Fractional positions:
Zn: 0.9968 0.9968 0.9968
Cu: 0.2500 0.2500 0.2500
Zn: 0.5032 0.5032 0.5032
Re: 0.7500 0.7500 0.7500

Properties
N(E_F) = 1.9 states/eV/cell
V = 14.00 Å³/atom
magnetic moment = 0.000 μB per atom



In order of decreasing stability: (iii), (i), (ii).



(i)
VASP calculation (PBE) on ZnCu3Re after structural relaxation.

abc: 4.2487 4.2487 4.2487
angles: 90.00 90.00 90.00
Fractional positions:
Zn: 0.0000 0.0000 0.0000
Cu: 0.0000 0.0000 0.5000
Cu: 0.0000 0.5000 0.0000
Re: 0.5000 0.5000 0.5000
Cu: 0.5000 0.0000 0.0000

Properties
N(E_F) = 3.0 states/eV/cell
V = 15.34 Å³/atom
magnetic moment = 0.008 μB per atom



(ii)
VASP calculation (PBE) on ZnCu3Re after structural relaxation.

abc: 4.6882 4.6882 4.6882
angles: 90.00 90.00 90.00
Fractional positions:
Cu: 0.5000 0.0000 0.0000
Zn: 0.5000 0.5000 0.5000
Re: 0.0000 0.0000 0.0000
Cu: 0.0000 0.5000 0.0000
Cu: 0.0000 0.0000 0.5000

Properties
N(E_F) = 5.0 states/eV/cell
V = 20.61 Å³/atom
magnetic moment = 0.268 μB per atom



In order of decreasing stability: (i), (ii).



(i)
VASP calculation (PBE) on Zr3Cu2Re after structural relaxation.

abc: 3.2930 4.6876 7.3375
angles: 108.63 90.00 90.00
Fractional positions:
Zr: 0.5000 0.8365 0.6730
Re: 0.0000 0.0000 0.0000
Zr: 0.5000 0.5000 0.0000
Cu: 0.0000 0.3346 0.6691
Zr: 0.5000 0.1635 0.3270
Cu: 0.0000 0.6654 0.3309

Properties
N(E_F) = 5.3 states/eV/cell
V = 17.89 Å³/atom
magnetic moment = 0.000 μB per atom



(ii)
VASP calculation (PBE) on Zr3Cu2Re after structural relaxation.

abc: 3.3108 3.3108 9.8187
angles: 90.00 90.00 90.00
Fractional positions:
Cu: 0.5000 0.5000 0.8322
Re: 0.5000 0.5000 0.5000
Zr: 0.0000 0.0000 0.3372
Cu: 0.5000 0.5000 0.1678
Zr: 0.0000 0.0000 0.0000
Zr: 0.0000 0.0000 0.6628

Properties
N(E_F) = 5.8 states/eV/cell
V = 17.94 Å³/atom
magnetic moment = 0.090 μB per atom



In order of decreasing stability: (i), (ii).



(i)
VASP calculation (PBE) on Zr4CuRe after structural relaxation.

abc: 3.2978 3.2978 10.8872
angles: 90.00 90.00 90.00
Fractional positions:
Zr: 0.5000 0.5000 0.1560
Cu: 0.0000 0.0000 0.0000
Re: 0.5000 0.5000 0.5000
Zr: 0.0000 0.0000 0.6495
Zr: 0.0000 0.0000 0.3505
Zr: 0.5000 0.5000 0.8440

Properties
N(E_F) = 7.0 states/eV/cell
V = 19.73 Å³/atom
magnetic moment = 0.000 μB per atom



(ii)
VASP calculation (PBE) on Zr4CuRe after structural relaxation.

abc: 5.5576 5.5576 5.5576
angles: 60.00 60.00 60.00
Fractional positions:
Zr: 0.3735 0.3735 0.8796
Re: 0.0000 0.0000 0.0000
Cu: 0.7500 0.7500 0.7500
Zr: 0.3735 0.8796 0.3735
Zr: 0.3735 0.3735 0.3735
Zr: 0.8796 0.3735 0.3735

Properties
N(E_F) = 10.2 states/eV/cell
V = 20.23 Å³/atom
magnetic moment = 0.000 μB per atom



In order of decreasing stability: (i), (ii).



(i)
VASP calculation (PBE) on Cu2Rh after structural relaxation.

abc: 4.5789 4.5789 4.5789
angles: 146.60 132.45 59.35
Fractional positions:
Cu: 0.6648 0.6648 0.0000
Rh: 0.3333 0.3333 0.0000
Cu: 0.0018 0.0018 0.0000

Properties
N(E_F) = 3.7 states/eV/cell
V = 12.88 Å³/atom
magnetic moment = 0.036 μB per atom



(ii)
VASP calculation (PBE) on Cu2Rh after structural relaxation.

abc: 5.7170 5.7170 5.7170
angles: 152.98 152.98 38.59
Fractional positions:
Cu: 0.0046 0.0046 0.0000
Rh: 0.3333 0.3333 0.0000
Cu: 0.6621 0.6621 0.0000

Properties
N(E_F) = 3.3 states/eV/cell
V = 12.84 Å³/atom
magnetic moment = 0.002 μB per atom



In order of decreasing stability: (ii), (i).